[1]
VASP calculation (PBE-GGA) on a relaxed structure of LuThGa.

Unit cell a=4.9662 b=4.9662 c=4.9662 alpha=60.00 beta=60.00 gamma=60.00
With the nearest neighbours (Å) after each atom.
Element x y z (fractional)
1 Lu 0.0000 0.0000 0.0000  4 Th 3.04, 4 Ga 3.04
2 Th 0.2500 0.2500 0.2500  4 Lu 3.04
3 Ga 0.7500 0.7500 0.7500  4 Lu 3.04

## Properties
Total energy   -0.325 Ry/atom


[2]
VASP calculation (PBE-GGA) on a relaxed structure of BaCdIn2Pt.

Unit cell a=6.9735 b=6.9735 c=6.9735 alpha=140.37 beta=140.37 gamma=57.29
With the nearest neighbours (Å) after each atom.
Element x y z (fractional)
1 Ba 0.0000 0.0000 0.0000  4 Cd 3.59, 4 Pt 3.64, 8 In 3.73-4.01
2 Cd 0.3921 0.3921 0.0000  1 Pt 2.75, 4 In 3.04
3 In 0.2355 0.7355 0.5000  2 Pt 2.77, 2 Cd 3.04
4 In 0.7355 0.2355 0.5000  2 Pt 2.77, 2 Cd 3.04
5 Pt 0.6171 0.6171 0.0000  1 Cd 2.75, 4 In 2.77

## Properties
Energy above the most stable polymorph in this dataset   38 meV/atom